The following is a PBE calculation of crystalline CaVNi2 at its relaxed geometry, from Alexandria.

Calculated values
Total moment = 2.1 μB per cell
SG = No. 225
Relative energy among the computed polymorphs = 0.2986 eV/atom
Total energy = -5.39 eV per atom
E_form = 0.2839 eV per atom

Geometry as POSCAR:
```
CaVNi2
1.0
-0.470 -4.426 0.228
-4.026 -1.843 -0.509
-0.933 -2.335 -3.680
Ni Ca V
2 1 1
direct
0.250 0.250 0.250
0.750 0.750 0.750
0.000 0.000 0.000
0.500 0.500 0.500
```